(1)
This record from Alexandria describes AsC3 after structural relaxation. The functional is GGA-PBE.

```
AsC3
1.0
6.9761 0.0000 0.0000
0.0000 2.4439 0.0000
-0.2852 0.0000 8.5355
As C
2 6
direct
0.0000 0.0000 0.0000
0.5000 0.5000 0.0000
0.0000 0.5000 0.5000
0.1950 0.5000 0.5000
0.3050 0.0000 0.5000
0.5000 0.0000 0.5000
0.6950 0.0000 0.5000
0.8050 0.5000 0.5000
```

Results
**E**: -7.1812 eV/atom
**Formation energy from the elements**: 3.60 eV per formula unit
**Fermi-level density of states**: 4.107 states/eV/cell
**SG**: C2/m, No. 12



(2)
This record from Alexandria describes Ca2TmTe4 after structural relaxation. The functional is GGA-PBE.

```
Ca2TmTe4
1.0
2.0986 -7.3914 0.0000
2.0986 7.3914 0.0000
0.0000 0.0000 15.1085
Ca Tm Te
4 2 8
direct
0.1364 0.8636 0.5733
0.1364 0.8636 0.9267
0.8636 0.1364 0.0733
0.8636 0.1364 0.4267
0.3794 0.6206 0.7500
0.6206 0.3794 0.2500
0.0288 0.9712 0.7500
0.2101 0.7899 0.1243
0.2101 0.7899 0.3757
0.5000 0.5000 0.0000
0.5000 0.5000 0.5000
0.7899 0.2101 0.6243
0.7899 0.2101 0.8757
0.9712 0.0288 0.2500
```

Results
**E**: -4.2798 eV/atom
**Fermi-level density of states**: 5.506 states/eV/cell
**E_form (uncorrected)**: -1274 meV/atom
**SG**: Cmcm, No. 63